# 1
DFT (SCAN) results for a crystal of ReRu2Pt relaxed with PBEsol.

Results
E_tot	-52.77	eV per atom
total magnetization	0.00	μB per cell
DOS at the Fermi energy	0.85	states/eV per atom
energy of formation	-0.034	eV per atom
crystal system	tetragonal

a b c (Å): 2.702 2.702 7.688
angles (deg): 90.00 90.00 90.00
Element x y z (fractional)
Re  0.000  0.000  0.000
Ru  0.500  0.500  0.242
Ru  0.500  0.500  0.758
Pt  0.000  0.000  0.500


# 2
DFT (SCAN) results for a crystal of Ca3Cd8Pt4 relaxed with PBEsol.

Results
E_tot	-37.46	eV per atom
total magnetization	0.00	μB per cell
DOS at the Fermi energy	0.34	states/eV per atom
energy of formation	-0.591	eV per atom
crystal system	cubic

a b c (Å): 9.493 9.493 9.493
angles (deg): 60.00 60.00 60.00
Element x y z (fractional)
Ca  0.213  0.213  0.787
Ca  0.213  0.787  0.213
Ca  0.213  0.787  0.787
Ca  0.787  0.213  0.213
Ca  0.787  0.213  0.787
Ca  0.787  0.787  0.213
Cd  0.141  0.620  0.620
Cd  0.165  0.165  0.165
Cd  0.165  0.165  0.506
Cd  0.165  0.506  0.165
Cd  0.380  0.380  0.380
Cd  0.380  0.380  0.859
Cd  0.380  0.859  0.380
Cd  0.494  0.835  0.835
Cd  0.506  0.165  0.165
Cd  0.620  0.141  0.620
Cd  0.620  0.620  0.141
Cd  0.620  0.620  0.620
Cd  0.835  0.494  0.835
Cd  0.835  0.835  0.494
Cd  0.835  0.835  0.835
Cd  0.859  0.380  0.380
Pt  0.000  0.000  0.000
Pt  0.000  0.000  0.500
Pt  0.000  0.500  0.000
Pt  0.000  0.500  0.500
Pt  0.500  0.000  0.000
Pt  0.500  0.000  0.500
Pt  0.500  0.500  0.000
Pt  0.500  0.500  0.500


# 3
DFT (SCAN) results for a crystal of ZrHg2Sb relaxed with PBEsol.

Results
uncorrected formation energy	-252.7	meV per atom
E_tot	-51.33	eV per atom
total magnetization	0.00	μB per cell
DOS at the Fermi energy	0.42	states/eV per atom
crystal system	tetragonal

a b c (Å): 3.798 3.798 6.177
angles (deg): 90.00 90.00 90.00
Element x y z (fractional)
Zr  0.000  0.000  0.000
Hg  0.000  0.000  0.502
Hg  0.500  0.500  0.282
Sb  0.500  0.500  0.805


# 4
DFT (SCAN) results for a crystal of NaSrMoOs2 relaxed with PBEsol.

Results
E_tot	-37.71	eV per atom
total magnetization	4.15	μB per cell
DOS at the Fermi energy	1.07	states/eV per atom
energy of formation	3.315	eV per atom
crystal system	tetragonal

a b c (Å): 4.862 4.862 4.883
angles (deg): 90.00 90.00 90.00
Element x y z (fractional)
Na  0.000  0.000  0.000
Sr  0.500  0.500  0.500
Mo  0.500  0.500  0.000
Os  0.000  0.500  0.500
Os  0.500  0.000  0.500


# 5
DFT (SCAN) results for a crystal of IrWBr2 relaxed with PBEsol.

Results
uncorrected formation energy	1666.6	meV per atom
E_tot	-43.26	eV per atom
total magnetization	0.00	μB per cell
DOS at the Fermi energy	0.94	states/eV per atom
crystal system	tetragonal

a b c (Å): 4.819 4.819 4.819
angles (deg): 128.77 128.77 75.38
Element x y z (fractional)
Ir  0.000  0.000  0.000
W  0.500  0.500  0.000
Br  0.250  0.750  0.500
Br  0.750  0.250  0.500


# 6
DFT (SCAN) results for a crystal of NbHgIr3 relaxed with PBEsol.

Results
E_tot	-61.23	eV per atom
total magnetization	0.00	μB per cell
DOS at the Fermi energy	0.48	states/eV per atom
energy of formation	1.693	eV per atom
crystal system	cubic

a b c (Å): 4.729 4.729 4.729
angles (deg): 90.00 90.00 90.00
Element x y z (fractional)
Nb  0.000  0.000  0.000
Hg  0.500  0.500  0.500
Ir  0.000  0.000  0.500
Ir  0.000  0.500  0.000
Ir  0.500  0.000  0.000


# 7
DFT (SCAN) results for a crystal of SrLi2In2 relaxed with PBEsol.

Results
E_tot	-19.13	eV per atom
total magnetization	0.00	μB per cell
DOS at the Fermi energy	0.47	states/eV per atom
energy of formation	-0.367	eV per atom
crystal system	tetragonal

a b c (Å): 8.480 8.480 3.231
angles (deg): 90.00 90.00 90.00
Element x y z (fractional)
Sr  0.000  0.000  0.000
Sr  0.500  0.500  0.000
Li  0.120  0.380  0.000
Li  0.380  0.880  0.000
Li  0.620  0.120  0.000
Li  0.880  0.620  0.000
In  0.172  0.672  0.500
In  0.328  0.172  0.500
In  0.672  0.828  0.500
In  0.828  0.328  0.500


# 8
DFT (SCAN) results for a crystal of Y2Cu3 relaxed with PBEsol.

Results
E_tot	-20.46	eV per atom
total magnetization	0.00	μB per cell
DOS at the Fermi energy	0.76	states/eV per atom
energy of formation	-0.205	eV per atom
crystal system	trigonal

a b c (Å): 6.881 6.881 6.881
angles (deg): 35.37 35.37 35.37
Element x y z (fractional)
Y  0.088  0.088  0.088
Y  0.912  0.912  0.912
Cu  0.336  0.336  0.336
Cu  0.500  0.500  0.500
Cu  0.664  0.664  0.664


# 9
DFT (SCAN) results for a crystal of Ta2W relaxed with PBEsol.

Results
E_tot	-67.07	eV per atom
total magnetization	0.00	μB per cell
DOS at the Fermi energy	0.91	states/eV per atom
energy of formation	0.551	eV per atom
crystal system	tetragonal

a b c (Å): 11.029 11.029 11.029
angles (deg): 163.42 163.42 23.53
Element x y z (fractional)
Ta  0.303  0.553  0.750
Ta  0.447  0.697  0.750
Ta  0.553  0.303  0.250
Ta  0.697  0.447  0.250
W  0.125  0.875  0.250
W  0.875  0.125  0.750


# 10
DFT (SCAN) results for a crystal of SiMo2Rh relaxed with PBEsol.

Results
uncorrected formation energy	-258.3	meV per atom
E_tot	-28.65	eV per atom
total magnetization	0.00	μB per cell
DOS at the Fermi energy	0.65	states/eV per atom
crystal system	monoclinic

a b c (Å): 2.726 4.098 5.154
angles (deg): 90.00 101.13 90.00
Element x y z (fractional)
Si  0.000  0.000  0.000
Mo  0.321  0.000  0.509
Mo  0.580  0.500  0.226
Rh  0.917  0.500  0.753


# 11
DFT (SCAN) results for a crystal of PtRh2W relaxed with PBEsol.

Results
E_tot	-52.13	eV per atom
total magnetization	0.00	μB per cell
DOS at the Fermi energy	0.85	states/eV per atom
energy of formation	-0.272	eV per atom
crystal system	tetragonal

a b c (Å): 4.685 4.685 4.685
angles (deg): 131.16 131.16 71.56
Element x y z (fractional)
Pt  0.000  0.000  0.000
Rh  0.250  0.750  0.500
Rh  0.750  0.250  0.500
W  0.500  0.500  0.000


# 12
DFT (SCAN) results for a crystal of BaTeBr2 relaxed with PBEsol.

Results
uncorrected formation energy	-1511.1	meV per atom
E_tot	-30.44	eV per atom
total magnetization	0.00	μB per cell
DOS at the Fermi energy	0.00	states/eV per atom
crystal system	monoclinic

a b c (Å): 5.898 5.898 5.442
angles (deg): 95.90 95.90 47.00
Element x y z (fractional)
Ba  0.000  0.000  0.000
Te  0.500  0.500  0.500
Br  0.302  0.302  0.778
Br  0.698  0.698  0.222